Density functional theory data (PBE) for a relaxed structure of K2NaMg.

Results
SG: R-3m (166)
Volume: 49.50 A^3/atom
Fermi-level density of states: 0.9053 states/eV per atom
DFT total energy: -4.03 eV per cell
DFT formation energy: 0.27 eV per atom

Cell: 4.0410 4.0410 14.1946 Å, 81.82 81.82 60.00°
Sites, in units of the cell vectors:
Na 0.5000 0.5000 0.5000
K 0.0859 0.0859 0.7422
K 0.9141 0.9141 0.2578
Mg 0.0000 0.0000 0.0000